Ce3PmPb4: optimized geometry, PBE.

Lattice parameters (Å, degrees): 5.944 5.944 7.950 112.02 111.95 90.00
Last column: magnetic moment on the atom in μB.
Positions (direct):
Pb: 0.376 0.376 0.752  -0.01
Pb: 0.876 0.876 0.752  -0.01
Pm: 0.500 0.000 0.000  0.20
Pb: 0.624 0.624 0.248  -0.01
Ce: 0.000 0.500 0.000  0.86
Pb: 0.124 0.124 0.248  -0.01
Ce: 0.754 0.254 0.509  0.92
Ce: 0.246 0.746 0.491  0.92

Summary:
Formation energy (eV/f.u.): -3.367
Raw total energy (eV/atom): -5.094
Mass density (Mg/m³): 9.72